# 1
Entry from Alexandria: crystalline CrTe at its relaxed geometry (PBEsol).

## Properties
Final energy, eV/f.u.: -13.54
Magnetization, μB per cell: 15.79
DOS at the Fermi energy, states/eV/f.u.: 0.92
Uncorrected formation energy, eV per atom: 0.12

```
CrTe
1.0
5.615 0.000 0.000
0.000 5.615 0.000
0.000 0.000 5.615
Cr Te
4 4
Direct
0.000 0.000 0.000 Cr
0.000 0.500 0.500 Cr
0.500 0.000 0.500 Cr
0.500 0.500 0.000 Cr
0.000 0.000 0.500 Te
0.000 0.500 0.000 Te
0.500 0.000 0.000 Te
0.500 0.500 0.500 Te
```

# 2
Entry from Alexandria: crystalline CdP2O6 at its relaxed geometry (PBEsol).

## Properties
Final energy, eV/f.u.: -62.13
Magnetization, μB per cell: 0.00
DOS at the Fermi energy, states/eV/f.u.: 0.00
Uncorrected formation energy, eV per atom: -1.98

```
CdP2O6
1.0
7.043 0.000 0.000
0.000 9.667 0.000
0.000 0.000 13.687
Cd P O
8 16 48
Direct
0.050 0.008 0.206 Cd
0.050 0.492 0.706 Cd
0.450 0.508 0.206 Cd
0.450 0.992 0.706 Cd
0.550 0.008 0.294 Cd
0.550 0.492 0.794 Cd
0.950 0.508 0.294 Cd
0.950 0.992 0.794 Cd
0.084 0.700 0.098 P
0.084 0.800 0.598 P
0.184 0.711 0.894 P
0.184 0.789 0.394 P
0.316 0.211 0.894 P
0.316 0.289 0.394 P
0.416 0.200 0.098 P
0.416 0.300 0.598 P
0.584 0.700 0.402 P
0.584 0.800 0.902 P
0.684 0.711 0.606 P
0.684 0.789 0.106 P
0.816 0.211 0.606 P
0.816 0.289 0.106 P
0.916 0.200 0.402 P
0.916 0.300 0.902 P
0.013 0.703 0.373 O
0.013 0.797 0.873 O
0.138 0.652 0.603 O
0.138 0.848 0.103 O
0.142 0.598 0.177 O
0.142 0.902 0.677 O
0.143 0.184 0.411 O
0.143 0.316 0.911 O
0.159 0.634 0.997 O
0.159 0.866 0.497 O
0.242 0.600 0.822 O
0.242 0.900 0.322 O
0.258 0.100 0.822 O
0.258 0.400 0.322 O
0.341 0.134 0.997 O
0.341 0.366 0.497 O
0.357 0.684 0.411 O
0.357 0.816 0.911 O
0.358 0.098 0.177 O
0.358 0.402 0.677 O
0.362 0.152 0.603 O
0.362 0.348 0.103 O
0.487 0.203 0.373 O
0.487 0.297 0.873 O
0.513 0.703 0.127 O
0.513 0.797 0.627 O
0.638 0.652 0.897 O
0.638 0.848 0.397 O
0.642 0.598 0.323 O
0.642 0.902 0.823 O
0.643 0.184 0.089 O
0.643 0.316 0.589 O
0.659 0.634 0.503 O
0.659 0.866 0.003 O
0.742 0.600 0.678 O
0.742 0.900 0.178 O
0.758 0.100 0.678 O
0.758 0.400 0.178 O
0.841 0.134 0.503 O
0.841 0.366 0.003 O
0.857 0.684 0.089 O
0.857 0.816 0.589 O
0.858 0.098 0.323 O
0.858 0.402 0.823 O
0.862 0.152 0.897 O
0.862 0.348 0.397 O
0.987 0.203 0.127 O
0.987 0.297 0.627 O
```

# 3
Entry from Alexandria: crystalline SiHg2As at its relaxed geometry (PBEsol).

## Properties
Final energy, eV/f.u.: -11.48
Excess energy over the best structure of this formula in the dataset, meV/atom: 0.0
Magnetization, μB per cell: 0.00
DOS at the Fermi energy, states/eV/f.u.: 1.74
Uncorrected formation energy, eV per atom: 0.13

```
SiHg2As
1.0
3.389 0.000 0.000
0.000 3.389 0.000
0.000 0.000 7.726
Si Hg As
1 2 1
Direct
0.000 0.000 0.000 Si
0.000 0.000 0.326 Hg
0.500 0.500 0.559 Hg
0.500 0.500 0.907 As
```

# 4
Entry from Alexandria: crystalline GdPO4 at its relaxed geometry (PBEsol).

## Properties
Final energy, eV/f.u.: -59.43
Magnetization, μB per cell: 13.97
DOS at the Fermi energy, states/eV/f.u.: 0.00
Uncorrected formation energy, eV per atom: -3.03

```
GdPO4
1.0
-3.483 3.483 3.041
3.483 -3.483 3.041
3.483 3.483 -3.041
Gd P O
2 2 8
Direct
0.375 0.625 0.750 Gd
0.625 0.375 0.250 Gd
0.125 0.875 0.250 P
0.875 0.125 0.750 P
0.141 0.717 0.424 O
0.208 0.283 0.924 O
0.283 0.208 0.424 O
0.283 0.859 0.076 O
0.717 0.141 0.924 O
0.717 0.792 0.576 O
0.792 0.717 0.076 O
0.859 0.283 0.576 O
```